# 1
The following is a PBE calculation of a relaxed MoW2C crystal, from Alexandria via LeMat-Bulk.

Calculated values
The calculation puts the energy of formation from the pure elements at 0.42 eV per atom. Its volume is 13.66 Å³ per atom. Its spin magnetization is 0.0 μB/cell.

Cell: 3.0720 4.7050 7.5602 Å, 90.00 90.00 90.00°
Last column: nearest neighbours and their distance in Å.
Space group Cmmm (No. 65)
Symmetry-distinct sites (fractional):
Mo 0.0000 0.0000 0.0000 x2  4 W 2.76, 6 Mo 2.81-3.07
W 0.0000 0.5000 0.3036 x4  2 C 2.14
C 0.0000 0.0000 0.5000 x2  4 W 2.14



# 2
The following is a PBE calculation of a relaxed MoWC2 crystal, from Alexandria via LeMat-Bulk.

Calculated values
The calculation puts the energy of formation from the pure elements at 0.74 eV per atom. Its volume is 11.78 Å³ per atom. Its spin magnetization is 0.0 μB/cell.

Cell: 2.9641 5.2898 6.0130 Å, 90.00 90.00 90.00°
Last column: nearest neighbours and their distance in Å.
Space group Cmmm (No. 65)
Symmetry-distinct sites (fractional):
Mo 0.0000 0.0000 0.0000 x2  4 C 2.11
W 0.0000 0.0000 0.5000 x2  4 C 2.11
C 0.0000 0.5000 0.2507 x4  2 W 2.11, 2 Mo 2.11



# 3
The following is a PBE calculation of a relaxed Mo3WC crystal, from Alexandria via LeMat-Bulk.

Calculated values
The calculation puts the energy of formation from the pure elements at 3.09 eV per atom. Its volume is 21.35 Å³ per atom. Its spin magnetization is 0.0 μB/cell.

Cell: 4.7439 4.7439 4.7439 Å, 90.00 90.00 90.00°
Last column: nearest neighbours and their distance in Å.
Space group Pm-3m (No. 221)
Symmetry-distinct sites (fractional):
Mo 0.0000 0.0000 0.5000 x3  2 W 2.37
W 0.0000 0.0000 0.0000 x1  6 Mo 2.37
C 0.5000 0.5000 0.5000 x1  12 Mo 3.35



# 4
The following is a PBE calculation of a relaxed Mo2WC crystal, from Alexandria via LeMat-Bulk.

Calculated values
The calculation puts the energy of formation from the pure elements at 0.99 eV per atom. Its volume is 13.65 Å³ per atom. Its spin magnetization is 0.0 μB/cell.

Cell: 3.4678 3.4678 9.0816 Å, 90.00 90.00 90.00°
Last column: nearest neighbours and their distance in Å.
Space group I4/mmm (No. 139)
Symmetry-distinct sites (fractional):
Mo 0.0000 0.5000 0.2500 x4  4 Mo 2.45
W 0.0000 0.0000 0.0000 x2  4 C 2.45
C 0.0000 0.0000 0.5000 x2  4 W 2.45



# 5
The following is a PBE calculation of a relaxed Mo2WC crystal, from Alexandria via LeMat-Bulk.

Calculated values
The calculation puts the energy of formation from the pure elements at 1.07 eV per atom. Its volume is 13.81 Å³ per atom. Its spin magnetization is 0.0 μB/cell.

Cell: 5.2149 6.8499 3.0923 Å, 90.00 90.00 90.00°
Last column: nearest neighbours and their distance in Å.
Space group Cmmm (No. 65)
Symmetry-distinct sites (fractional):
Mo 0.2500 0.2500 0.0000 x4  2 Mo 2.61, 4 W 2.65, 4 C 2.65
W 0.0000 0.0000 0.5000 x2  2 C 2.61, 8 Mo 2.65
C 0.0000 0.5000 0.5000 x2  2 W 2.61, 8 Mo 2.65



# 6
The following is a PBE calculation of a relaxed MoWC2 crystal, from Alexandria via LeMat-Bulk.

Calculated values
The calculation puts the energy of formation from the pure elements at 0.48 eV per atom. Its volume is 10.83 Å³ per atom. Its spin magnetization is 0.0 μB/cell.

Cell: 2.9168 2.9975 4.9566 Å, 90.00 90.00 90.00°
Last column: nearest neighbours and their distance in Å.
Space group Pmmm (No. 47)
Symmetry-distinct sites (fractional):
Mo 0.0000 0.0000 0.0000 x1  8 C 2.25
W 0.0000 0.5000 0.5000 x1  4 C 2.21
C 0.5000 0.5000 0.1660 x2  1 C 1.65



# 7
The following is a PBE calculation of a relaxed MoWC2 crystal, from Alexandria via LeMat-Bulk.

Calculated values
The calculation puts the energy of formation from the pure elements at 0.71 eV per atom. Its volume is 10.13 Å³ per atom. Its spin magnetization is 0.0 μB/cell.

Cell: 3.8527 3.8527 2.7310 Å, 90.00 90.00 90.00°
Last column: nearest neighbours and their distance in Å.
Space group P4/mmm (No. 123)
Symmetry-distinct sites (fractional):
Mo 0.0000 0.0000 0.0000 x1  8 C 2.36
W 0.5000 0.5000 0.0000 x1  8 C 2.36
C 0.0000 0.5000 0.5000 x2  4 W 2.36, 4 Mo 2.36



# 8
The following is a PBE calculation of a relaxed Mo2WC crystal, from Alexandria via LeMat-Bulk.

Calculated values
The calculation puts the energy of formation from the pure elements at 1.09 eV per atom. Its volume is 13.73 Å³ per atom. Its spin magnetization is 0.0 μB/cell.

Cell: 4.2542 3.0941 4.3024 Å, 90.00 104.09 90.00°
Last column: nearest neighbours and their distance in Å.
Space group P2/m (No. 10)
Symmetry-distinct sites (fractional):
Mo 0.0000 0.0000 0.0000 x1  4 Mo 2.63, 2 C 2.63, 4 W 2.65
Mo 0.5000 0.5000 0.0000 x1  4 Mo 2.63, 2 W 2.63, 4 C 2.65
W 0.0000 0.5000 0.5000 x1  4 C 2.63, 6 Mo 2.63-2.65
C 0.5000 0.0000 0.5000 x1  4 W 2.63, 6 Mo 2.63-2.65



# 9
The following is a PBE calculation of a relaxed Mo2WC crystal, from Alexandria via LeMat-Bulk.

Calculated values
The calculation puts the energy of formation from the pure elements at 0.54 eV per atom. Its volume is 14.40 Å³ per atom. Its spin magnetization is 0.0 μB/cell.

Cell: 3.0089 3.0089 6.3607 Å, 90.00 90.00 90.00°
Last column: nearest neighbours and their distance in Å.
Space group P4mm (No. 99)
Symmetry-distinct sites (fractional):
Mo 0.0000 0.0000 0.0000 x1  4 Mo 2.63, 1 W 2.76
Mo 0.5000 0.5000 0.2438 x1  1 C 2.32
W 0.0000 0.0000 0.5667 x1  4 C 2.14
C 0.5000 0.5000 0.6088 x1  4 W 2.14, 1 Mo 2.32



# 10
The following is a PBE calculation of a relaxed MoW2C crystal, from Alexandria via LeMat-Bulk.

Calculated values
The calculation puts the energy of formation from the pure elements at 1.30 eV per atom. Its volume is 14.20 Å³ per atom. Its spin magnetization is 0.0 μB/cell.

Cell: 3.5352 3.5352 4.5444 Å, 90.00 90.00 90.00°
Last column: nearest neighbours and their distance in Å.
Space group P4/mmm (No. 123)
Symmetry-distinct sites (fractional):
Mo 0.0000 0.0000 0.0000 x1  4 C 2.50
W 0.0000 0.5000 0.5000 x2  4 W 2.50
C 0.5000 0.5000 0.0000 x1  4 Mo 2.50



# 11
The following is a PBE calculation of a relaxed Mo2WC crystal, from Alexandria via LeMat-Bulk.

Calculated values
The calculation puts the energy of formation from the pure elements at 0.35 eV per atom. Its volume is 14.24 Å³ per atom. Its spin magnetization is 0.0 μB/cell.

Cell: 7.1702 7.1702 4.4312 Å, 90.00 90.00 90.00°
Last column: nearest neighbours and their distance in Å.
Space group I-42d (No. 122)
Symmetry-distinct sites (fractional):
Mo 0.1387 0.7500 0.1250 x8  2 C 2.12
W 0.0000 0.0000 0.5000 x4  2 C 2.22
C 0.0000 0.0000 0.0000 x4  4 Mo 2.12, 2 W 2.22



# 12
The following is a PBE calculation of a relaxed MoW2C crystal, from Alexandria via LeMat-Bulk.

Calculated values
The calculation puts the energy of formation from the pure elements at 1.18 eV per atom. Its volume is 13.89 Å³ per atom. Its spin magnetization is 0.0 μB/cell.

Cell: 5.2755 6.8253 3.0865 Å, 90.00 90.00 90.00°
Last column: nearest neighbours and their distance in Å.
Space group Cmmm (No. 65)
Symmetry-distinct sites (fractional):
Mo 0.0000 0.0000 0.0000 x2  2 C 2.64, 8 W 2.65
W 0.2500 0.2500 0.5000 x4  2 W 2.64, 4 Mo 2.65, 4 C 2.65
C 0.0000 0.5000 0.0000 x2  2 Mo 2.64, 8 W 2.65



# 13
The following is a PBE calculation of a relaxed Mo2WC crystal, from Alexandria via LeMat-Bulk.

Calculated values
The calculation puts the energy of formation from the pure elements at 0.44 eV per atom. Its volume is 13.35 Å³ per atom. Its spin magnetization is 0.0 μB/cell.

Cell: 2.7143 2.7143 7.2491 Å, 90.00 90.00 90.00°
Last column: nearest neighbours and their distance in Å.
Space group P4/mmm (No. 123)
Symmetry-distinct sites (fractional):
Mo 0.0000 0.0000 0.1790 x2  4 C 2.32
W 0.5000 0.5000 0.5000 x1  4 W 2.71, 8 Mo 3.02
C 0.5000 0.5000 0.0000 x1  8 Mo 2.32



# 14
The following is a PBE calculation of a relaxed Mo2WC crystal, from Alexandria via LeMat-Bulk.

Calculated values
The calculation puts the energy of formation from the pure elements at 0.99 eV per atom. Its volume is 13.92 Å³ per atom. Its spin magnetization is 0.0 μB/cell.

Cell: 2.9452 3.9438 4.7942 Å, 90.00 90.00 90.00°
Last column: nearest neighbours and their distance in Å.
Space group Pmmm (No. 47)
Symmetry-distinct sites (fractional):
Mo 0.0000 0.0000 0.2380 x2  2 Mo 2.28-2.51
W 0.5000 0.5000 0.5000 x1  2 C 2.40
C 0.5000 0.5000 0.0000 x1  2 W 2.40



# 15
The following is a PBE calculation of a relaxed MoWC2 crystal, from Alexandria via LeMat-Bulk.

Calculated values
The calculation puts the energy of formation from the pure elements at 0.27 eV per atom. Its volume is 10.57 Å³ per atom. Its spin magnetization is 0.0 μB/cell.

Cell: 3.1194 3.1194 15.0478 Å, 90.00 90.00 120.00°
Last column: nearest neighbours and their distance in Å.
Space group R-3m (No. 166, hexagonal axes)
Symmetry-distinct sites (fractional):
Mo 0.0000 0.0000 0.0000 x3  6 C 2.21
W 0.0000 0.0000 0.5000 x3  6 C 2.18
C 0.0000 0.0000 0.2486 x6  3 W 2.18, 3 Mo 2.21